# 1
GdMgPt: relaxed, PBE.

Unit cell a=5.0355 b=5.0355 c=5.8975 alpha=90.00 beta=90.00 gamma=120.00
Space group P6_3/mmc (No. 194)
Unique sites:
Gd  0.3333  0.6667  0.2500 x2
Mg  0.0000  0.0000  0.0000 x2
Pt  0.3333  0.6667  0.7500 x2

Summary:
The value obtained for the magnetic moment is 0.01 μB per formula unit.

# 2
GdMgPt: relaxed, PBE.

Unit cell a=4.6716 b=4.6716 c=6.7751 alpha=90.00 beta=90.00 gamma=120.00
Space group P6_3/mmc (No. 194)
Unique sites:
Gd  0.0000  0.0000  0.0000 x2
Mg  0.3333  0.6667  0.2500 x2
Pt  0.3333  0.6667  0.7500 x2

Summary:
The value obtained for the magnetic moment is 0.01 μB per formula unit.

no.,E_tot (eV per atom)
1,-4.91
2,-4.87